1.
{"formula": "AgGeP2F", "functional": "GGA-PBE", "state": "relaxed", "e_tot_ev_per_atom": -3.6059, "lattice_angstrom": [[-1.6710, -3.8027, 2.4653], [1.7645, -2.5785, -2.7814], [4.0481, -0.0712, 2.6341]], "species": ["P", "P", "Ag", "F", "Ge"], "frac_coords": [[0.5000, 0.0000, 0.0000], [0.0000, 0.0000, 0.5000], [0.0000, 0.0000, 0.0000], [0.0000, 0.5000, 0.0000], [0.5000, 0.5000, 0.5000]]}

---

2.
{"formula": "TiNbCo5", "functional": "GGA-PBE", "state": "relaxed", "delta_e_f_ev_per_atom": 0.11, "lattice_angstrom": [[-0.6454, 3.6561, -1.0874], [-3.7526, -0.8063, -0.4835], [-1.0850, 1.5464, 5.8431]], "species": ["Co", "Co", "Co", "Co", "Co", "Ti", "Nb"], "frac_coords": [[0.5000, 0.5000, 0.5000], [0.0000, 0.5000, 0.2307], [0.5000, 0.0000, 0.7693], [0.5000, 0.0000, 0.2307], [0.0000, 0.5000, 0.7693], [0.5000, 0.5000, 0.0000], [0.0000, 0.0000, 0.5000]]}

---

3.
{"formula": "LiAlPb3", "functional": "GGA-PBE", "state": "relaxed", "e_above_lowest_polymorph_ev_per_atom": 0.003, "delta_e_f_ev_per_atom": 0.31, "lattice_angstrom": [[-3.5247, 4.1206, 0.9452], [-3.7064, -2.4201, -3.2715], [-2.0335, -2.7314, 4.3245]], "species": ["Pb", "Pb", "Pb", "Al", "Li"], "frac_coords": [[0.0000, 0.5000, 0.0000], [0.0000, 0.0000, 0.5000], [0.5000, 0.0000, 0.0000], [0.0000, 0.0000, 0.0000], [0.5000, 0.5000, 0.5000]]}

---

4.
{"formula": "Mg3InHg4", "functional": "GGA-PBE", "state": "relaxed", "delta_e_f_ev_per_atom": -0.15, "lattice_angstrom": [[-3.2505, -1.2895, -1.2005], [-0.9988, -1.6595, 4.4870], [-4.3201, 8.7668, 2.2807]], "species": ["Mg", "Mg", "Mg", "Hg", "Hg", "Hg", "Hg", "In"], "frac_coords": [[0.5000, 0.0000, 0.2518], [0.5000, 0.0000, 0.7482], [0.5000, 0.5000, 0.5000], [0.0000, 0.5000, 0.2662], [0.0000, 0.0000, 0.0000], [0.0000, 0.0000, 0.5000], [0.0000, 0.5000, 0.7338], [0.5000, 0.5000, 0.0000]]}

---

5.
{"formula": "DyTlCdCu", "functional": "GGA-PBE", "state": "relaxed", "delta_e_f_ev_per_atom": -0.12, "lattice_angstrom": [[4.9831, 0.0000, 0.0000], [2.4915, 4.3155, 0.0000], [2.4915, 1.4385, 4.0687]], "species": ["Cu", "Cd", "Tl", "Dy"], "frac_coords": [[0.0000, 0.0000, 0.0000], [0.7500, 0.7500, 0.7500], [0.5000, 0.5000, 0.5000], [0.2500, 0.2500, 0.2500]]}

---

6.
{"formula": "SiPOs", "functional": "GGA-PBE", "state": "relaxed", "e_tot_ev_per_atom": -6.8672, "lattice_angstrom": [[-0.9765, -1.2950, -3.6508], [2.8662, -0.8933, -2.6354], [0.6657, -3.8063, -1.0135]], "species": ["Os", "Si", "P"], "frac_coords": [[0.0000, 0.0000, 0.0000], [0.7500, 0.7500, 0.7500], [0.5000, 0.5000, 0.5000]]}

---

7.
{"formula": "VPdCl3", "functional": "GGA-PBE", "state": "relaxed", "e_above_lowest_polymorph_ev_per_atom": 0.402, "lattice_angstrom": [[-1.0037, -1.2076, -4.6236], [-2.2853, -4.0279, 1.5481], [-4.1969, 2.4822, 0.2627]], "species": ["Cl", "Cl", "Cl", "V", "Pd"], "frac_coords": [[0.0000, 0.0000, 0.5000], [0.0000, 0.5000, 0.0000], [0.5000, 0.0000, 0.0000], [0.5000, 0.5000, 0.5000], [0.0000, 0.0000, 0.0000]]}

---

8.
{"formula": "BeBiPS2", "functional": "GGA-PBE", "state": "relaxed", "e_above_lowest_polymorph_ev_per_atom": 1.111, "lattice_angstrom": [[5.1670, 0.0000, 0.0000], [0.0000, 5.1670, 0.0000], [0.0000, 0.0000, 5.3799]], "species": ["S", "S", "P", "Be", "Bi"], "frac_coords": [[0.0000, 0.5000, 0.0000], [0.5000, 0.0000, 0.0000], [0.0000, 0.0000, 0.5000], [0.5000, 0.5000, 0.5000], [0.0000, 0.0000, 0.0000]]}

---

9.
{"formula": "LiHgPd14", "functional": "GGA-PBE", "state": "relaxed", "delta_e_f_ev_per_atom": -0.08, "lattice_angstrom": [[5.5712, -0.3505, 0.0000], [-2.5059, 4.9881, 0.0000], [0.0000, 0.0000, 9.2402]], "species": ["Hg", "Pd", "Pd", "Pd", "Pd", "Pd", "Pd", "Pd", "Pd", "Pd", "Pd", "Pd", "Pd", "Pd", "Pd", "Li"], "frac_coords": [[0.5393, 0.4607, 0.5000], [0.7109, 0.2891, 0.0000], [0.5389, 0.9609, 0.5000], [0.8774, 0.6272, 0.2492], [0.3728, 0.1226, 0.2492], [0.8759, 0.1241, 0.2527], [0.8759, 0.1241, 0.7473], [0.2094, 0.2888, 0.0000], [0.3738, 0.6262, 0.7515], [0.3738, 0.6262, 0.2485], [0.3728, 0.1226, 0.7508], [0.0391, 0.4611, 0.5000], [0.7112, 0.7906, 0.0000], [0.2105, 0.7895, 0.0000], [0.8774, 0.6272, 0.7508], [0.0409, 0.9591, 0.5000]]}

---

10.
{"formula": "SbIBr", "functional": "GGA-PBE", "state": "relaxed", "e_above_lowest_polymorph_ev_per_atom": 0.000, "lattice_angstrom": [[5.9135, -0.5491, 0.2117], [1.8353, 6.3704, -1.6571], [3.5191, -2.5953, 8.2691]], "species": ["Br", "Br", "I", "I", "Sb", "Sb"], "frac_coords": [[0.2830, 0.8199, 0.5316], [0.7170, 0.1801, 0.4684], [0.8177, 0.6654, 0.9094], [0.1823, 0.3346, 0.0906], [0.1568, 0.2547, 0.3659], [0.8432, 0.7453, 0.6341]]}

---

11.
{"formula": "KUCuTe4", "functional": "GGA-PBE", "state": "relaxed", "e_tot_ev_per_atom": -4.7278, "lattice_angstrom": [[7.5032, 0.0000, -0.0499], [0.0000, 6.2612, 0.0000], [-3.0243, 0.0000, 9.5297]], "species": ["Te", "Te", "Te", "Te", "Te", "Te", "Te", "Te", "K", "K", "U", "U", "Cu", "Cu"], "frac_coords": [[0.9837, 0.4948, 0.2963], [0.5469, 0.2500, 0.8454], [0.0163, 0.9948, 0.7037], [0.9837, 0.0052, 0.2963], [0.4531, 0.7500, 0.1546], [0.0163, 0.5052, 0.7037], [0.5680, 0.2500, 0.4045], [0.4320, 0.7500, 0.5955], [0.7654, 0.7500, 0.9459], [0.2346, 0.2500, 0.0541], [0.2727, 0.2500, 0.5584], [0.7273, 0.7500, 0.4416], [0.2732, 0.7500, 0.3314], [0.7268, 0.2500, 0.6686]]}

---

12.
{"formula": "UTl2AgI6", "functional": "GGA-PBE", "state": "relaxed", "e_tot_ev_per_atom": -3.4299, "lattice_angstrom": [[-6.0048, -2.8681, 4.5781], [1.0122, -7.8288, -3.5770], [7.9177, -2.7182, 8.1897]], "species": ["I", "I", "I", "I", "I", "I", "I", "I", "I", "I", "I", "I", "Tl", "Tl", "Tl", "Tl", "U", "U", "Ag", "Ag"], "frac_coords": [[0.6834, 0.3080, 0.5549], [0.8166, 0.8081, 0.5565], [0.6834, 0.3081, 0.9435], [0.1834, 0.1920, 0.0549], [0.3166, 0.6920, 0.4451], [0.3166, 0.6919, 0.0565], [0.6207, 0.0243, 0.2548], [0.1834, 0.1919, 0.4435], [0.1207, 0.4757, 0.7548], [0.3793, 0.9757, 0.7452], [0.8793, 0.5243, 0.2452], [0.8166, 0.8080, 0.9451], [0.4631, 0.4038, 0.2598], [0.5369, 0.5962, 0.7402], [0.0369, 0.9038, 0.2402], [0.9631, 0.0962, 0.7598], [0.0000, 0.5000, 0.5000], [0.5000, 0.0000, 0.0000], [0.0000, 0.5000, 0.0000], [0.5000, 0.0000, 0.5000]]}